This record from Alexandria via LeMat-Bulk describes a geometry-optimized AlP2Pt structure. The functional is PBE.

Computed properties:
Electronic total energy in eV/cell: -22.1
Space-group type: P2/m, No. 10
Energy of formation from the pure elements in eV/atom: -0.37

Lattice parameters (Å, degrees): 3.5736 4.5553 4.3391 73.36 90.00 90.00
Last column: nearest neighbours and their distance in Å.
Atoms (fractional coordinates):
Al  0.5000  0.7500  0.7500  2 Pt 2.66, 4 P 2.67
P  0.0000  0.4299  0.5219  1 P 2.18, 2 Pt 2.41
P  0.0000  0.0701  0.9781  1 P 2.18, 2 Pt 2.41
Pt  0.5000  0.2500  0.2500  4 P 2.41, 2 Al 2.66